# PrHoSc6

A relaxed PrHoSc6 crystal (PBE-GGA, the Alexandria database).

For the energy relative to the elements, the calculation gives 0.003 eV/atom. As for the total energy: -47.321 eV per formula unit. The value obtained for the volume is 428.2 Å³ per cell.

The space group is Amm2 (No. 38) and the conventional cell measures 5.3454, 6.8000 and 11.7799 Å, with angles of 90.00, 90.00 and 90.00 degrees. Symmetry generates all atoms from Pr at (0.0000, 0.0000, 0.0000), Ho at (0.5000, 0.0000, 0.3322), Sc at (0.0000, 0.0000, 0.5025), Sc at (0.0000, 0.2433, 0.7476), Sc at (0.5000, 0.0000, 0.8285) and Sc at (0.5000, 0.2424, 0.5849).